No. 1
The following is a DFT calculation (GGA-PBE) of a relaxed structure of V3ZnNi7.

Geometry as POSCAR:
```
V3ZnNi7
1.0
4.014 -4.332 0.000
4.014 4.332 0.000
-1.979 0.000 4.028
V Zn Ni
3 1 7
direct
0.000 0.000 0.000 V
0.233 0.767 0.500 V
0.767 0.233 0.500 V
0.500 0.500 0.000 Zn
0.051 0.596 0.819 Ni
0.179 0.179 0.584 Ni
0.404 0.949 0.181 Ni
0.500 0.500 0.500 Ni
0.596 0.051 0.819 Ni
0.821 0.821 0.416 Ni
0.949 0.404 0.181 Ni
```

Calculated values
Formation energy: 0.15 eV/atom
Size of the total moment: 0.00 μB/f.u.
DFT total energy: -6.134 eV/atom

=====

No. 2
The following is a DFT calculation (GGA-PBE) of a relaxed structure of V2ZnNi4.

Geometry as POSCAR:
```
V2ZnNi4
1.0
4.528 0.000 0.000
-0.733 6.492 0.000
-0.048 -3.256 5.684
V Zn Ni
4 2 8
direct
0.000 0.000 0.000 V
0.044 0.295 0.862 V
0.435 0.444 0.454 V
0.950 0.725 0.138 V
0.240 0.864 0.580 Zn
0.505 0.998 0.291 Zn
0.028 0.153 0.448 Ni
0.444 0.567 0.167 Ni
0.470 0.722 0.870 Ni
0.523 0.156 0.004 Ni
0.544 0.296 0.719 Ni
0.740 0.867 0.584 Ni
0.930 0.440 0.280 Ni
0.943 0.573 0.697 Ni
```

Calculated values
Formation energy: -0.13 eV/atom
Size of the total moment: 0.00 μB/f.u.
Excess energy over the best structure of this formula in the dataset: 0.000 eV/atom
DFT total energy: -6.218 eV/atom

=====

No. 3
The following is a DFT calculation (GGA-PBE) of a relaxed structure of VZn3Ni12.

Geometry as POSCAR:
```
VZn3Ni12
1.0
3.568 0.000 0.000
0.000 3.568 0.000
0.000 0.000 14.301
V Zn Ni
1 3 12
direct
0.000 0.000 0.000 V
0.000 0.000 0.249 Zn
0.000 0.000 0.500 Zn
0.000 0.000 0.751 Zn
0.000 0.500 0.121 Ni
0.000 0.500 0.374 Ni
0.000 0.500 0.626 Ni
0.000 0.500 0.879 Ni
0.500 0.000 0.121 Ni
0.500 0.000 0.374 Ni
0.500 0.000 0.626 Ni
0.500 0.000 0.879 Ni
0.500 0.500 0.000 Ni
0.500 0.500 0.248 Ni
0.500 0.500 0.500 Ni
0.500 0.500 0.752 Ni
```

Calculated values
Formation energy: -0.16 eV/atom
Size of the total moment: 3.37 μB/f.u.
DFT total energy: -5.308 eV/atom

=====

No. 4
The following is a DFT calculation (GGA-PBE) of a relaxed structure of V2ZnNi.

Geometry as POSCAR:
```
V2ZnNi
1.0
3.551 0.000 0.000
0.000 3.551 0.000
0.000 0.000 4.040
V Zn Ni
2 1 1
direct
0.000 0.500 0.000 V
0.500 0.000 0.000 V
0.000 0.000 0.500 Zn
0.500 0.500 0.500 Ni
```

Calculated values
Formation energy: -0.05 eV/atom
Size of the total moment: 0.00 μB/f.u.
DFT total energy: -6.377 eV/atom

=====

> What is the size of the total moment in the third record?

3.37 μB/f.u.

=====

> Which formula does entry 4 have?

V2ZnNi

=====

> Number 1 is which compound?

V3ZnNi7

=====

> What is the size of the total moment in the second record?

0.00 μB/f.u.